This record from Alexandria describes a relaxed TcHgSeCl2 crystal. The functional is GGA-PBE.

a b c (Å): 5.083 5.083 5.539
angles (deg): 90.00 90.00 90.00
Space group P4/mmm (No. 123)
Asymmetric unit:
Tc 0.000 0.000 0.000 (multiplicity 1)
Hg 0.500 0.500 0.500 (multiplicity 1)
Se 0.500 0.500 0.000 (multiplicity 1)
Cl 0.000 0.500 0.500 (multiplicity 2)

Final energy   -2.85 eV/atom
Mass density   5.2 Mg/m³
Formation energy from raw total energies   0.7198 eV per atom
M_tot   4.99 Bohr magnetons per cell
D(E_F)   1.62 states/eV/f.u.